Computed, not measured: ErTl3Te2O9 after structural relaxation at the PBE level of DFT.

Lattice parameters (Å, degrees): 5.9097 5.9097 7.2649 90.00 90.00 120.00
Space group P-3m1 (No. 164)
Symmetry-distinct sites (fractional):
Er1 0.0000 0.0000 0.0000
Tl1 0.0000 0.0000 0.5000
Tl2 0.3333 0.6667 0.1683
Te1 0.3333 0.6667 0.6694
O1 0.0000 0.5000 0.5000
O2 0.1766 0.3532 0.8160

Properties
Total energy (eV/atom): -5.434
Fermi-level density of states (states/eV per cell): 5.9
Formation energy (no corrections) (meV per atom): -1263